This record from Alexandria describes a relaxed structure of Th3Os2. The functional is PBE.

Cell: 3.610 3.610 9.728 Å, 100.69 100.69 90.00°
Element x y z (fractional)
Th 0.183 0.183 0.365
Th 0.817 0.817 0.635
Th 0.000 0.000 0.000
Os 0.599 0.599 0.199
Os 0.401 0.401 0.801

Values from the calculation:
DFT total energy (eV per atom): -9.053
Formation enthalpy at 0 K (kJ/mol of atoms): -10.5